Computed, not measured: a relaxed structure of TbTmTePb at the PBE-GGA level of DFT.

Lattice parameters (Å, degrees): 4.398 4.398 6.187 90.00 90.00 90.00
Atoms (fractional coordinates):
Te  0.500  0.392  0.593
Pb  0.000  0.891  0.092
Tm  0.000  0.892  0.592
Tb  0.500  0.391  0.093

Values from the calculation:
- ΔE_f (raw): -87.3 kJ/mol of atoms
- Spin magnetization: 0.00 μB/f.u.
- Space-group type: P4mm, No. 99